1.
PBEsol Li2TaAg, optimized geometry; energy above the lowest structure with this stoichiometry = 0 meV/atom; total moment = 0.00 μB/cell; crystal system = tetragonal
1.0
2.704 0.000 0.000
0.000 2.704 0.000
0.000 0.000 8.690
Li Ta Ag
2 1 1
Direct
0.000 0.000 0.269 Li
0.000 0.000 0.731 Li
0.500 0.500 0.000 Ta
0.500 0.500 0.500 Ag


2.
PBEsol In2RuSe, optimized geometry; uncorrected formation energy = -33 meV/atom; total moment = 0.00 μB/cell; crystal system = trigonal
1.0
-2.751 -0.869 1.393
-2.216 -1.587 -1.683
2.255 -9.037 2.502
Ru In Se
1 2 1
Direct
0.507 0.507 0.480 Ru
0.765 0.765 0.706 In
0.002 0.002 0.995 In
0.227 0.227 0.319 Se


3.
PBEsol BiPPd3, optimized geometry; E_tot = -5.8569 eV/atom; total moment = 0.00 μB/cell; crystal system = cubic
1.0
-4.227 -0.205 1.581
-0.301 -4.297 -1.363
1.566 -1.380 4.007
Pd P Bi
3 1 1
Direct
0.000 0.500 0.000 Pd
0.000 0.000 0.500 Pd
0.500 0.000 0.000 Pd
0.000 0.000 0.000 P
0.500 0.500 0.500 Bi